Record 1
Computed, not measured: a geometry-optimized Y2AsP structure at the PBEsol level of DFT.

Lattice parameters (Å, degrees): 4.0111 4.0111 19.6791 90.00 90.00 120.00
Space group R-3m (No. 166, hexagonal axes)
Unique sites:
Y 0.0000 0.0000 0.2477 [6 per cell]
As 0.0000 0.0000 0.0000 [3 per cell]
P 0.0000 0.0000 0.5000 [3 per cell]

Properties
ΔE_f = -1.62 eV/atom


Record 2
Computed, not measured: a geometry-optimized YBP2O structure at the PBEsol level of DFT.

Lattice parameters (Å, degrees): 5.340 5.340 4.067 90.00 90.00 90.00
Space group P4/mmm (No. 123)
Unique sites:
Y 0.000 0.000 0.000 [1 per cell]
B 0.500 0.500 0.500 [1 per cell]
P 0.000 0.500 0.000 [2 per cell]
O 0.000 0.000 0.500 [1 per cell]

Properties
ΔE_f (raw) = 0.97 eV per atom


Record 3
Computed, not measured: a geometry-optimized AlTe2Ir structure at the PBEsol level of DFT.

Lattice parameters (Å, degrees): 4.802 4.802 6.863 90.00 90.00 90.00
Space group I4/mmm (No. 139)
Unique sites:
Al 0.000 0.000 0.000 [2 per cell]
Te 0.000 0.500 0.250 [4 per cell]
Ir 0.000 0.000 0.500 [2 per cell]

Properties
ΔE_f (raw) = 0.43 eV per atom


Record 4
Computed, not measured: a geometry-optimized YZr2Tc structure at the PBEsol level of DFT.

Lattice parameters (Å, degrees): 3.288 3.288 7.976 90.00 90.00 90.00
Space group P4/mmm (No. 123)
Unique sites:
Y 0.000 0.000 0.000 [1 per cell]
Zr 0.500 0.500 0.307 [2 per cell]
Tc 0.000 0.000 0.500 [1 per cell]

Properties
ΔE_f = -0.10 eV/atom


Record 5
Computed, not measured: a geometry-optimized DyErRh2 structure at the PBEsol level of DFT.

Lattice parameters (Å, degrees): 6.707 6.707 6.707 90.00 90.00 90.00
Space group Fm-3m (No. 225)
Unique sites:
Dy 0.000 0.000 0.000 [4 per cell]
Er 0.000 0.000 0.500 [4 per cell]
Rh 0.250 0.250 0.250 [8 per cell]

Properties
ΔE_f = -0.87 eV/atom


Record 6
Computed, not measured: a geometry-optimized DyCrO4 structure at the PBEsol level of DFT.

Lattice parameters (Å, degrees): 7.084 7.084 6.190 90.00 90.00 90.00
Space group I4_1/amd (No. 141, origin choice 2)
Unique sites:
Dy 0.000 0.250 0.375 [4 per cell]
Cr 0.000 0.250 0.875 [4 per cell]
O 0.000 0.067 0.699 [16 per cell]

Properties
ΔE_f (raw) = -2.64 eV per atom


Record 7
Computed, not measured: a geometry-optimized BaLiCa structure at the PBEsol level of DFT.

Lattice parameters (Å, degrees): 4.171 4.171 13.803 90.00 90.00 90.00
Space group I4mm (No. 107)
Unique sites:
Ba 0.000 0.000 0.000 [2 per cell]
Li 0.000 0.000 0.666 [2 per cell]
Ca 0.000 0.000 0.289 [2 per cell]

Properties
ΔE_f = 0.04 eV/atom


Record 8
Computed, not measured: a geometry-optimized PSe2Cl2 structure at the PBEsol level of DFT.

Lattice parameters (Å, degrees): 6.301 6.889 7.353 105.95 114.54 90.36
Space group P-1 (No. 2)
Unique sites:
P 0.140 0.199 0.151 [2 per cell]
Se 0.278 0.542 0.258 [2 per cell]
Se 0.282 0.484 0.932 [2 per cell]
Cl 0.068 0.190 0.400 [2 per cell]
Cl 0.449 0.071 0.227 [2 per cell]

Properties
ΔE_f (raw) = -0.31 eV per atom


Record 9
Computed, not measured: a geometry-optimized Zr2InN structure at the PBEsol level of DFT.

Lattice parameters (Å, degrees): 3.2622 3.2622 14.8118 90.00 90.00 120.00
Space group P6_3/mmc (No. 194)
Unique sites:
Zr 0.3333 0.6667 0.0836 [4 per cell]
In 0.3333 0.6667 0.7500 [2 per cell]
N 0.0000 0.0000 0.0000 [2 per cell]

Properties
ΔE_f (raw) = -1.24 eV per atom


Record 10
Computed, not measured: a geometry-optimized Lu2PdAu structure at the PBEsol level of DFT.

Lattice parameters (Å, degrees): 6.845 6.845 6.845 90.00 90.00 90.00
Space group Fm-3m (No. 225)
Unique sites:
Lu 0.250 0.250 0.250 [8 per cell]
Pd 0.000 0.000 0.000 [4 per cell]
Au 0.000 0.000 0.500 [4 per cell]

Properties
ΔE_f = -0.93 eV/atom


Record 11
Computed, not measured: a geometry-optimized MgTeOsN2 structure at the PBEsol level of DFT.

Lattice parameters (Å, degrees): 3.870 3.870 5.542 90.00 90.00 90.00
Space group P4/mmm (No. 123)
Unique sites:
Mg 0.000 0.000 0.000 [1 per cell]
Te 0.000 0.000 0.500 [1 per cell]
Os 0.500 0.500 0.500 [1 per cell]
N 0.000 0.500 0.000 [2 per cell]

Properties
ΔE_f (raw) = 1.99 eV per atom


Record 12
Computed, not measured: a geometry-optimized Zr2OsRu structure at the PBEsol level of DFT.

Lattice parameters (Å, degrees): 6.474 6.474 6.474 90.00 90.00 90.00
Space group Fm-3m (No. 225)
Unique sites:
Zr 0.250 0.250 0.250 [8 per cell]
Os 0.000 0.000 0.000 [4 per cell]
Ru 0.000 0.000 0.500 [4 per cell]

Properties
ΔE_f = -0.60 eV/atom